NiPRh2 | PBE | optimized geometry

```
data_NiPRh2
_space_group_name_H-M_alt 'I m m m'
_space_group_IT_number 71
_space_group_name_Hall '-I 2 2'
_cell_length_a 2.8607
_cell_length_b 4.2077
_cell_length_c 8.8543
_cell_angle_alpha 90.00
_cell_angle_beta 90.00
_cell_angle_gamma 90.00
loop_
_atom_site_label
_atom_site_fract_x
_atom_site_fract_y
_atom_site_fract_z
_atom_site_occupancy
Ni1 0.0000 0.0000 0.0000 1
P1 0.0000 0.0000 0.5000 1
Rh1 0.0000 0.5000 0.2013 1
```

Results
* final energy: -0.49228 Ry/atom
* energy of formation from the pure elements: -0.22 eV/atom